Record 1
Entry from Alexandria: a geometry-optimized RbLa3Te4 structure (PBE).

```
data_RbLa3Te4
_chemical_formula_sum 'Rb2 La6 Te8'
_cell_length_a 4.6508
_cell_length_b 4.6508
_cell_length_c 32.0567
_cell_angle_alpha 90.00
_cell_angle_beta 90.00
_cell_angle_gamma 120.00
_space_group_name_H-M_alt 'P 1'
_space_group_IT_number 1
loop_
_space_group_symop_operation_xyz
'x,y,z'
loop_
_atom_site_label
_atom_site_fract_x
_atom_site_fract_y
_atom_site_fract_z
Rb1 0.3333 0.6667 0.2500
Rb2 0.6667 0.3333 0.7500
La1 0.0000 0.0000 0.0000
La2 0.0000 0.0000 0.5000
La3 0.3333 0.6667 0.6152
La4 0.3333 0.6667 0.8848
La5 0.6667 0.3333 0.1152
La6 0.6667 0.3333 0.3848
Te1 0.0000 0.0000 0.1712
Te2 0.0000 0.0000 0.3288
Te3 0.0000 0.0000 0.6712
Te4 0.0000 0.0000 0.8288
Te5 0.3333 0.6667 0.0577
Te6 0.3333 0.6667 0.4423
Te7 0.6667 0.3333 0.5577
Te8 0.6667 0.3333 0.9423
```

Calculated values
Space group: P6_3/mmc

***

Record 2
Entry from Alexandria: a geometry-optimized RbLa2Te2 structure (PBE).

```
data_RbLa2Te2
_chemical_formula_sum 'Rb1 La2 Te2'
_cell_length_a 9.0726
_cell_length_b 9.0726
_cell_length_c 9.0726
_cell_angle_alpha 147.70
_cell_angle_beta 147.70
_cell_angle_gamma 46.33
_space_group_name_H-M_alt 'P 1'
_space_group_IT_number 1
loop_
_space_group_symop_operation_xyz
'x,y,z'
loop_
_atom_site_label
_atom_site_fract_x
_atom_site_fract_y
_atom_site_fract_z
Rb1 0.0000 0.0000 0.0000
La1 0.2500 0.7500 0.5000
La2 0.7500 0.2500 0.5000
Te1 0.3758 0.3758 0.0000
Te2 0.6242 0.6242 0.0000
```

Calculated values
Space group: I4/mmm

***

Formation energy without anion corrections per entry: -1.535, -0.988 eV/atom
Total moment per entry: 0.00, 0.55 μB per atom
V per entry: 37.53, 42.50 Å³ per atom